[1]
Here is Al6SiTc2 after structural relaxation from Alexandria. Energies are from PBE. Values from VASP.

Geometry as Quantum ESPRESSO input:
```
&SYSTEM
  ibrav = 0, nat = 9, ntyp = 3
/
ATOMIC_SPECIES
Al 26.98 Al.upf
Si 28.09 Si.upf
Tc 98.00 Tc.upf
ATOMIC_POSITIONS angstrom
Al 0.852 4.742 2.850
Al 2.127 0.869 0.315
Al 2.113 4.722 0.270
Al 0.286 2.813 0.957
Al 0.866 0.889 2.894
Al 2.693 2.798 2.208
Si 1.546 2.787 -1.626
Tc 3.305 1.265 4.256
Tc -0.326 4.346 -1.091
CELL_PARAMETERS angstrom
3.731 0.000 -1.116
-0.639 5.575 -2.137
-0.113 0.036 6.417
```

ΔE_f (raw)   -0.23 eV per atom
Space group   C2/m
Relative energy among the computed polymorphs   0.00 kJ per mole of atoms
Size of the total moment   0.00 μB per formula unit
DOS at the Fermi energy   0.3871 states/eV per atom
E   -5.630 eV per atom

[2]
Here is K2AuO2 after structural relaxation from Alexandria. Energies are from PBE. Values from VASP.

Geometry as Quantum ESPRESSO input:
```
&SYSTEM
  ibrav = 0, nat = 20, ntyp = 3
/
ATOMIC_SPECIES
K 39.10 K.upf
Au 196.97 Au.upf
O 16.00 O.upf
ATOMIC_POSITIONS angstrom
K 1.036 0.000 5.172
K 7.534 0.000 4.965
K 2.473 1.722 0.095
K 6.097 1.722 10.041
K 6.392 0.000 1.704
K 2.178 0.000 8.432
K 4.955 1.722 6.781
K 3.615 1.722 3.356
Au 9.774 0.000 2.702
Au -1.204 0.000 7.435
Au 8.338 1.722 7.778
Au 0.232 1.722 2.358
O 6.959 0.000 8.011
O 1.611 0.000 2.126
O 8.396 1.722 2.934
O 0.174 1.722 7.202
O 3.584 0.000 5.352
O 4.986 0.000 4.784
O 5.021 1.722 0.275
O 3.549 1.722 9.861
CELL_PARAMETERS angstrom
11.443 0.000 -0.017
0.000 3.443 0.000
-2.874 0.000 10.153
```

ΔE_f (raw)   -0.80 eV per atom
Space group   C2/m
Size of the total moment   0.00 μB per formula unit
DOS at the Fermi energy   0.2245 states/eV per atom
E   -3.881 eV per atom

[3]
Here is Tm3Pd2Au3 after structural relaxation from Alexandria. Energies are from PBE. Values from VASP.

Geometry as Quantum ESPRESSO input:
```
&SYSTEM
  ibrav = 0, nat = 8, ntyp = 3
/
ATOMIC_SPECIES
Tm 168.93 Tm.upf
Pd 106.42 Pd.upf
Au 196.97 Au.upf
ATOMIC_POSITIONS angstrom
Tm 2.015 0.529 2.697
Tm 0.010 -2.535 4.062
Tm 2.820 3.802 0.719
Pd 4.008 1.182 0.727
Pd 2.459 -2.310 2.570
Au 4.950 -0.863 2.524
Au 0.214 -1.361 1.035
Au 1.303 1.097 -0.262
CELL_PARAMETERS angstrom
-1.081 1.950 2.788
0.911 -5.803 4.412
5.556 4.675 -1.115
```

Formation enthalpy at 0 K   -87.1 kJ per mole of atoms
Space group   P-62m
Size of the total moment   0.00 μB per formula unit
DOS at the Fermi energy   0.6927 states/eV per atom
E   -5.107 eV per atom

[4]
Here is CsScPbBr6 after structural relaxation from Alexandria. Energies are from PBE. Values from VASP.

Geometry as Quantum ESPRESSO input:
```
&SYSTEM
  ibrav = 0, nat = 9, ntyp = 4
/
ATOMIC_SPECIES
Cs 132.91 Cs.upf
Sc 44.96 Sc.upf
Pb 207.20 Pb.upf
Br 79.90 Br.upf
ATOMIC_POSITIONS angstrom
Cs 7.534 0.000 7.917
Sc 3.767 2.175 3.959
Pb 7.534 4.350 3.959
Br 1.607 2.305 2.374
Br 2.799 0.240 5.543
Br 5.927 2.305 5.543
Br 2.575 3.980 5.543
Br 4.959 3.980 2.374
Br 4.734 0.239 2.374
CELL_PARAMETERS angstrom
7.534 0.000 0.000
3.767 6.525 0.000
0.000 0.000 7.918
```

ΔE_f (raw)   -1.49 eV per atom
Space group   P312
Size of the total moment   0.00 μB per formula unit
DOS at the Fermi energy   0.0000 states/eV per atom
E   -3.820 eV per atom

[5]
Here is CaLa2Al after structural relaxation from Alexandria. Energies are from PBE. Values from VASP.

Geometry as Quantum ESPRESSO input:
```
&SYSTEM
  ibrav = 0, nat = 4, ntyp = 3
/
ATOMIC_SPECIES
Ca 40.08 Ca.upf
Al 26.98 Al.upf
La 138.91 La.upf
ATOMIC_POSITIONS angstrom
Ca 1.893 1.889 7.152
Al 1.893 1.889 2.384
La 0.000 0.000 0.530
La 0.000 0.000 4.238
CELL_PARAMETERS angstrom
3.782 -0.004 0.000
0.004 3.782 0.000
0.000 0.000 9.536
```

Formation enthalpy at 0 K   -13.0 kJ per mole of atoms
Space group   P4/mmm
Size of the total moment   0.00 μB per formula unit
DOS at the Fermi energy   1.1323 states/eV per atom
E   -4.035 eV per atom

[6]
Here is SrMg2Tl8 after structural relaxation from Alexandria. Energies are from PBE. Values from VASP.

Geometry as Quantum ESPRESSO input:
```
&SYSTEM
  ibrav = 0, nat = 11, ntyp = 3
/
ATOMIC_SPECIES
Sr 87.62 Sr.upf
Mg 24.30 Mg.upf
Tl 204.38 Tl.upf
ATOMIC_POSITIONS angstrom
Sr 2.852 -0.098 -0.147
Mg -1.223 0.159 5.034
Mg -1.223 4.584 2.086
Tl 3.130 4.944 4.486
Tl 3.130 2.236 6.290
Tl 0.310 2.776 4.167
Tl 1.629 5.238 1.439
Tl 1.629 -0.689 5.388
Tl 2.947 1.772 2.660
Tl 0.127 2.312 0.536
Tl 0.127 -0.396 2.341
CELL_PARAMETERS angstrom
5.704 -0.195 -0.293
-1.223 8.166 -0.301
-1.223 -3.423 7.421
```

Formation enthalpy at 0 K   -3.6 kJ per mole of atoms
Space group   C2/m
Size of the total moment   0.00 μB per formula unit
DOS at the Fermi energy   0.4013 states/eV per atom
E   -2.201 eV per atom